No. 1
A relaxed structure of Mg2Sc3Cd8. Source: the Alexandria database, functional PBE.

a b c (Å): 5.707 5.707 11.460
angles (deg): 75.58 75.58 60.00
Fractional coordinates of all 13 atoms:
1 Cd 0.727 0.227 0.319
2 Cd 0.273 0.273 0.681
3 Cd 0.721 0.721 0.837
4 Cd 0.727 0.727 0.319
5 Cd 0.279 0.279 0.163
6 Sc 0.815 0.815 0.556
7 Cd 0.273 0.773 0.681
8 Mg 0.637 0.637 0.088
9 Cd 0.773 0.273 0.681
10 Cd 0.227 0.727 0.319
11 Sc 0.185 0.185 0.444
12 Sc 0.000 0.000 0.000
13 Mg 0.363 0.363 0.912

No. 2
A relaxed structure of ZnCu. Source: the Alexandria database, functional PBE.

a b c (Å): 2.672 2.672 8.526
angles (deg): 90.00 90.00 120.00
Fractional coordinates of all 4 atoms:
1 Cu 0.667 0.333 0.244
2 Cu 0.000 0.000 0.006
3 Zn 0.000 0.000 0.491
4 Zn 0.667 0.333 0.759

No. 3
A relaxed structure of NaTaRh2. Source: the Alexandria database, functional PBE.

a b c (Å): 3.110 3.110 7.417
angles (deg): 90.00 90.00 90.00
Fractional coordinates of all 4 atoms:
1 Rh 0.000 0.000 0.797
2 Na 0.500 0.500 0.500
3 Rh 0.000 0.000 0.203
4 Ta 0.500 0.500 0.000

No. 4
A relaxed structure of AcPd2Au. Source: the Alexandria database, functional PBE.

a b c (Å): 3.752 3.752 6.151
angles (deg): 90.00 90.00 90.00
Fractional coordinates of all 4 atoms:
1 Pd 0.000 0.000 0.275
2 Ac 0.500 0.500 0.000
3 Au 0.500 0.500 0.500
4 Pd 0.000 0.000 0.725

No. 5
A relaxed structure of Zr2Ni2Hg. Source: the Alexandria database, functional PBE.

a b c (Å): 7.718 7.718 3.116
angles (deg): 90.00 90.00 90.00
Fractional coordinates of all 10 atoms:
1 Ni 0.374 0.126 0.500
2 Zr 0.157 0.343 0.000
3 Hg 0.000 0.000 0.000
4 Zr 0.657 0.157 0.000
5 Hg 0.500 0.500 0.000
6 Ni 0.626 0.874 0.500
7 Ni 0.126 0.626 0.500
8 Zr 0.343 0.843 0.000
9 Zr 0.843 0.657 0.000
10 Ni 0.874 0.374 0.500

No. 6
A relaxed structure of PrBOs2C. Source: the Alexandria database, functional PBE.

a b c (Å): 3.844 5.695 7.013
angles (deg): 90.00 90.00 109.73
Fractional coordinates of all 10 atoms:
1 Os 0.825 0.649 0.062
2 C 0.000 0.000 0.000
3 Os 0.175 0.351 0.562
4 B 0.271 0.541 0.250
5 Os 0.175 0.351 0.938
6 B 0.729 0.459 0.750
7 C 0.000 0.000 0.500
8 Os 0.825 0.649 0.438
9 Pr 0.454 0.908 0.750
10 Pr 0.546 0.092 0.250

No. 7
A relaxed structure of LiNi2As. Source: the Alexandria database, functional PBE.

a b c (Å): 3.074 3.074 5.234
angles (deg): 90.00 90.00 90.04
Fractional coordinates of all 4 atoms:
1 Ni 0.000 0.000 0.493
2 As 0.500 0.500 0.250
3 Li 0.500 0.500 0.750
4 Ni 0.000 0.000 0.007

No. 8
A relaxed structure of Cd2RePb. Source: the Alexandria database, functional PBE.

a b c (Å): 5.407 5.407 3.096
angles (deg): 90.00 90.00 114.61
Fractional coordinates of all 4 atoms:
1 Cd 0.500 0.500 0.000
2 Cd 0.000 0.000 0.000
3 Pb 0.500 0.000 0.500
4 Re 0.000 0.500 0.500

Total DFT energy (no corrections), record by record: -2.25, -2.73, -7.22, -4.94, -5.89, -8.77, -4.66, -3.73 eV per atom
Mass density, record by record: 5.8, 8.1, 9.5, 12.2, 9.0, 12.5, 6.7, 12.5 g/cm³